Entry 1:
Here is an optimized crystal structure of CaCe2N from Alexandria. Energies are from PBE.

E above lowest polymorph, meV per atom: 322
Density of states at the Fermi level, states/eV per atom: 1.880

Lattice parameters (Å, degrees): 3.158 3.158 9.410 90.00 90.00 90.00
Sites, in units of the cell vectors:
Ca1 0.000 0.000 0.000
Ce1 0.500 0.500 0.351
Ce2 0.500 0.500 0.649
N1 0.000 0.000 0.500

Entry 2:
Here is an optimized crystal structure of Ca4CeN4 from Alexandria. Energies are from PBE.

E, eV/cell: -56.19

Lattice parameters (Å, degrees): 6.194 6.194 8.888 119.62 119.62 33.85
Sites, in units of the cell vectors:
Ca1 0.124 0.124 0.380
Ca2 0.295 0.295 0.182
Ca3 0.705 0.705 0.818
Ca4 0.876 0.876 0.620
Ce1 0.500 0.500 0.000
N1 0.083 0.083 0.900
N2 0.289 0.289 0.706
N3 0.711 0.711 0.294
N4 0.917 0.917 0.100